1.
First-principles (PBE) data for a relaxed Ba4GeBrCl2 crystal, as listed in the Alexandria database.

V	37.29	Å³/atom
magnetic moment	0.00	μB per formula unit
Fermi-level density of states	3.2	states/eV/f.u.
formation energy without anion corrections	-1.52	eV/atom

extended XYZ file:
```
8
Lattice="8.026 0.000 0.000 0.000 4.800 0.000 -2.815 0.000 7.744" Properties=species:S:1:pos:R:3 pbc="T T T"
Ba 1.271 0.000 1.799
Ba -0.176 2.400 5.939
Ba 5.387 2.400 1.805
Ba 3.939 0.000 5.945
Ge 0.000 2.400 0.000
Br -1.408 0.000 3.872
Cl 4.013 0.000 0.000
Cl 2.605 2.400 3.872
```

***

2.
First-principles (PBE) data for a relaxed NaMnPt crystal, as listed in the Alexandria database.

V	17.46	Å³/atom
magnetic moment	4.53	μB per formula unit
polymorph energy (0 for the lowest one)	7.2	kJ/mol of atoms
Fermi-level density of states	1.3	states/eV/f.u.

extended XYZ file:
```
6
Lattice="4.709 0.000 0.000 -2.355 4.078 0.000 0.000 0.000 5.456" Properties=species:S:1:pos:R:3 pbc="T T T"
Na 0.000 0.000 0.000
Na 0.000 0.000 2.728
Mn 0.000 2.719 1.364
Mn 2.355 1.359 4.092
Pt 0.000 2.719 4.092
Pt 2.355 1.359 1.364
```

***

3.
First-principles (PBE) data for a relaxed TlTe2PbO8 crystal, as listed in the Alexandria database.

V	16.72	Å³/atom
magnetic moment	0.00	μB per formula unit
Fermi-level density of states	4.2	states/eV/f.u.
formation energy without anion corrections	-0.71	eV/atom

extended XYZ file:
```
12
Lattice="2.720 1.571 7.828 -2.720 1.571 7.828 0.000 -3.141 7.828" Properties=species:S:1:pos:R:3 pbc="T T T"
Tl 0.000 0.000 0.000
Te 0.000 0.000 5.767
Te 0.000 0.000 17.718
Pb 0.000 0.000 11.743
O -0.944 -1.409 9.356
O 0.000 0.000 3.921
O -0.748 -1.522 14.129
O -0.748 1.522 9.356
O -0.944 1.409 14.129
O 1.692 -0.113 9.356
O 0.000 0.000 19.564
O 1.692 0.113 14.129
```

***

4.
First-principles (PBE) data for a relaxed La2Pt3Au crystal, as listed in the Alexandria database.

V	23.67	Å³/atom
magnetic moment	0.00	μB per formula unit
polymorph energy (0 for the lowest one)	1.1	kJ/mol of atoms
Fermi-level density of states	3.7	states/eV/f.u.

extended XYZ file:
```
12
Lattice="0.000 4.925 7.455 3.868 0.000 7.455 3.868 4.925 0.000" Properties=species:S:1:pos:R:3 pbc="T T T"
La 5.830 4.925 7.455
La 1.934 2.463 3.728
La 5.801 7.388 11.183
La 1.905 4.925 7.455
Pt 3.868 4.925 2.264
Pt 3.868 2.476 6.110
Pt 3.868 2.476 8.801
Pt 3.868 7.375 6.110
Pt 3.868 7.375 8.801
Pt 3.868 4.925 12.647
Au 3.868 4.925 4.980
Au 3.868 4.925 9.931
```